Record 1
Computed, not measured: crystalline AgO at its relaxed geometry at the PBE level of DFT.

Results
Size of the total moment   0.000 μB/atom
E   -7.71 eV/cell
Symmetry   C2/m, No. 12
Density of states at the Fermi level   1.27 states/eV per cell

Cell lengths 3.296, 3.296, 3.303 Å; angles 119.43, 119.43, 90.36 degrees
Positions (direct):
Ag1 0.000 0.000 0.000
O1 0.500 0.500 0.000



Record 2
Computed, not measured: crystalline AgO at its relaxed geometry at the PBE level of DFT.

Results
Size of the total moment   0.000 μB/atom
E   -23.03 eV/cell
Symmetry   Imm2, No. 44
Density of states at the Fermi level   3.51 states/eV per cell

Cell lengths 6.020, 6.020, 6.020 Å; angles 150.21, 73.50, 114.59 degrees
Positions (direct):
Ag1 0.000 0.000 0.000
Ag2 0.280 0.435 0.844
Ag3 0.591 0.435 0.156
O1 0.239 0.026 0.213
O2 0.357 0.857 0.500
O3 0.813 0.026 0.787



Record 3
Computed, not measured: crystalline Ag2O3 at its relaxed geometry at the PBE level of DFT.

Results
Size of the total moment   0.108 μB/atom
E   -76.18 eV/cell
Symmetry   Cmcm, No. 63
Density of states at the Fermi level   15.89 states/eV per cell

Cell lengths 5.749, 5.749, 15.514 Å; angles 90.00, 90.00, 146.68 degrees
Positions (direct):
Ag1 0.094 0.906 0.634
Ag2 0.094 0.906 0.866
Ag3 0.364 0.636 0.549
Ag4 0.364 0.636 0.951
Ag5 0.636 0.364 0.049
Ag6 0.636 0.364 0.451
Ag7 0.906 0.094 0.134
Ag8 0.906 0.094 0.366
O1 0.000 0.000 0.000
O2 0.000 0.000 0.500
O3 0.182 0.818 0.750
O4 0.288 0.712 0.077
O5 0.288 0.712 0.423
O6 0.473 0.527 0.656
O7 0.473 0.527 0.844
O8 0.527 0.473 0.156
O9 0.527 0.473 0.344
O10 0.712 0.288 0.577
O11 0.712 0.288 0.923
O12 0.818 0.182 0.250



Record 4
Computed, not measured: crystalline AgO8 at its relaxed geometry at the PBE level of DFT.

Results
Size of the total moment   0.520 μB/atom
E   -36.16 eV/cell
Symmetry   I4/mmm, No. 139
Density of states at the Fermi level   7.31 states/eV per cell

Cell lengths 5.969, 5.969, 5.969 Å; angles 100.94, 100.94, 128.35 degrees
Positions (direct):
Ag1 0.000 0.000 0.000
O1 0.000 0.418 0.418
O2 0.000 0.582 0.582
O3 0.395 0.395 0.789
O4 0.395 0.605 0.000
O5 0.418 0.000 0.418
O6 0.582 0.000 0.582
O7 0.605 0.395 0.000
O8 0.605 0.605 0.211



Record 5
Computed, not measured: crystalline Ag2O3 at its relaxed geometry at the PBE level of DFT.

Results
Size of the total moment   0.000 μB/atom
E   -40.44 eV/cell
Symmetry   Fdd2, No. 43
Density of states at the Fermi level   0.54 states/eV per cell

Cell lengths 6.803, 5.673, 8.432 Å; angles 53.44, 42.04, 84.52 degrees
Positions (direct):
Ag1 0.086 0.914 0.320
Ag2 0.570 0.930 0.336
Ag3 0.914 0.086 0.680
Ag4 0.930 0.570 0.164
O1 0.021 0.718 0.814
O2 0.079 0.079 0.921
O3 0.329 0.329 0.171
O4 0.436 0.803 0.229
O5 0.718 0.021 0.447
O6 0.803 0.436 0.532



Record 6
Computed, not measured: crystalline Ag7O5 at its relaxed geometry at the PBE level of DFT.

Results
Size of the total moment   0.000 μB/atom
E   -44.39 eV/cell
Symmetry   C2/m, No. 12
Density of states at the Fermi level   3.46 states/eV per cell

Cell lengths 5.416, 5.416, 10.924 Å; angles 103.48, 103.48, 33.75 degrees
Positions (direct):
Ag1 0.000 0.000 0.000
Ag2 0.156 0.156 0.577
Ag3 0.240 0.240 0.846
Ag4 0.479 0.479 0.721
Ag5 0.521 0.521 0.279
Ag6 0.760 0.760 0.154
Ag7 0.844 0.844 0.423
O1 0.209 0.209 0.309
O2 0.391 0.391 0.067
O3 0.500 0.500 0.500
O4 0.609 0.609 0.933
O5 0.791 0.791 0.691



Record 7
Computed, not measured: crystalline AgO at its relaxed geometry at the PBE level of DFT.

Results
Size of the total moment   0.000 μB/atom
E   -46.79 eV/cell
Symmetry   Pmmn, No. 59
Density of states at the Fermi level   6.25 states/eV per cell

Cell lengths 4.247, 10.512, 3.929 Å; angles 90.00, 90.00, 90.00 degrees
Positions (direct):
Ag1 0.250 0.089 0.199
Ag2 0.250 0.411 0.199
Ag3 0.250 0.750 0.313
Ag4 0.750 0.250 0.687
Ag5 0.750 0.589 0.801
Ag6 0.750 0.911 0.801
O1 0.250 0.250 0.513
O2 0.250 0.574 0.888
O3 0.250 0.926 0.888
O4 0.750 0.074 0.112
O5 0.750 0.426 0.112
O6 0.750 0.750 0.487



Record 8
Computed, not measured: crystalline AgO at its relaxed geometry at the PBE level of DFT.

Results
Size of the total moment   0.000 μB/atom
E   -63.11 eV/cell
Symmetry   I4_1/a, No. 88
Density of states at the Fermi level   1.48 states/eV per cell

Cell lengths 6.800, 6.800, 6.800 Å; angles 118.55, 118.55, 92.54 degrees
Positions (direct):
Ag1 0.000 0.000 0.000
Ag2 0.000 0.000 0.500
Ag3 0.000 0.500 0.000
Ag4 0.000 0.500 0.500
Ag5 0.500 0.000 0.000
Ag6 0.500 0.000 0.500
Ag7 0.500 0.500 0.000
Ag8 0.500 0.500 0.500
O1 0.204 0.282 0.409
O2 0.218 0.127 0.922
O3 0.295 0.704 0.422
O4 0.373 0.795 0.091
O5 0.627 0.205 0.909
O6 0.705 0.296 0.578
O7 0.782 0.873 0.078
O8 0.796 0.718 0.591



Record 9
Computed, not measured: crystalline Ag2O at its relaxed geometry at the PBE level of DFT.

Results
Size of the total moment   0.000 μB/atom
E   -21.77 eV/cell
Symmetry   Pn-3m, No. 224
Density of states at the Fermi level   0.60 states/eV per cell

Cell lengths 4.841, 4.841, 4.841 Å; angles 90.00, 90.00, 90.00 degrees
Positions (direct):
Ag1 0.000 0.000 0.000
Ag2 0.000 0.500 0.500
Ag3 0.500 0.000 0.500
Ag4 0.500 0.500 0.000
O1 0.250 0.250 0.250
O2 0.750 0.750 0.750



Record 10
Computed, not measured: crystalline AgO at its relaxed geometry at the PBE level of DFT.

Results
Size of the total moment   0.000 μB/atom
E   -14.77 eV/cell
Symmetry   P6_3mc, No. 186
Density of states at the Fermi level   4.43 states/eV per cell

Cell lengths 3.438, 3.438, 6.228 Å; angles 90.00, 90.00, 120.00 degrees
Positions (direct):
Ag1 0.333 0.667 0.000
Ag2 0.667 0.333 0.500
O1 0.333 0.667 0.341
O2 0.667 0.333 0.841



Record 11
Computed, not measured: crystalline AgO at its relaxed geometry at the PBE level of DFT.

Results
Size of the total moment   0.000 μB/atom
E   -31.24 eV/cell
Symmetry   I4/m, No. 87
Density of states at the Fermi level   3.49 states/eV per cell

Cell lengths 5.810, 5.810, 5.810 Å; angles 98.01, 98.01, 136.17 degrees
Positions (direct):
Ag1 0.094 0.716 0.810
Ag2 0.284 0.094 0.378
Ag3 0.716 0.906 0.622
Ag4 0.906 0.284 0.190
O1 0.180 0.359 0.539
O2 0.359 0.820 0.179
O3 0.641 0.180 0.821
O4 0.820 0.641 0.461



Record 12
Computed, not measured: crystalline AgO2 at its relaxed geometry at the PBE level of DFT.

Results
Size of the total moment   0.116 μB/atom
E   -49.75 eV/cell
Symmetry   I4_1/acd, No. 142
Density of states at the Fermi level   8.88 states/eV per cell

Cell lengths 7.429, 7.429, 7.429 Å; angles 138.21, 138.21, 60.58 degrees
Positions (direct):
Ag1 0.125 0.875 0.250
Ag2 0.375 0.625 0.750
Ag3 0.625 0.375 0.250
Ag4 0.875 0.125 0.750
O1 0.032 0.282 0.564
O2 0.218 0.468 0.936
O3 0.282 0.218 0.250
O4 0.468 0.032 0.250
O5 0.532 0.968 0.750
O6 0.718 0.782 0.750
O7 0.782 0.532 0.064
O8 0.968 0.718 0.436



Record 13
Computed, not measured: crystalline AgO at its relaxed geometry at the PBE level of DFT.

Results
Size of the total moment   0.000 μB/atom
E   -60.85 eV/cell
Symmetry   P2_12_12_1, No. 19
Density of states at the Fermi level   11.53 states/eV per cell

Cell lengths 5.493, 6.007, 7.119 Å; angles 90.00, 90.00, 90.00 degrees
Positions (direct):
Ag1 0.227 0.007 0.078
Ag2 0.238 0.513 0.280
Ag3 0.262 0.487 0.780
Ag4 0.273 0.993 0.578
Ag5 0.727 0.493 0.922
Ag6 0.738 0.987 0.720
Ag7 0.762 0.013 0.220
Ag8 0.773 0.507 0.422
O1 0.098 0.398 0.030
O2 0.116 0.876 0.827
O3 0.384 0.124 0.327
O4 0.402 0.602 0.530
O5 0.598 0.102 0.970
O6 0.616 0.624 0.173
O7 0.884 0.376 0.673
O8 0.902 0.898 0.470



Record 14
Computed, not measured: crystalline AgOsO4 at its relaxed geometry at the PBE level of DFT.

Results
Size of the total moment   0.000 μB/atom
E   -76.06 eV/cell
Symmetry   P2_1/c, No. 14
Density of states at the Fermi level   4.65 states/eV per cell

Cell lengths 5.752, 4.898, 5.441 Å; angles 90.00, 103.52, 90.00 degrees
Positions (direct):
Ag1 0.000 0.000 0.000
Ag2 0.000 0.500 0.500
Os1 0.500 0.000 0.500
Os2 0.500 0.500 0.000
O1 0.197 0.146 0.398
O2 0.197 0.354 0.898
O3 0.393 0.713 0.251
O4 0.393 0.787 0.751
O5 0.607 0.213 0.249
O6 0.607 0.287 0.749
O7 0.803 0.646 0.102
O8 0.803 0.854 0.602



Record 15
Computed, not measured: crystalline AgOs2O8 at its relaxed geometry at the PBE level of DFT.

Results
Size of the total moment   0.101 μB/atom
E   -73.81 eV/cell
Symmetry   P-3m1, No. 164
Density of states at the Fermi level   7.15 states/eV per cell

Cell lengths 6.487, 6.487, 5.649 Å; angles 90.00, 90.00, 120.00 degrees
Positions (direct):
Ag1 0.000 0.000 0.000
Os1 0.333 0.667 0.690
Os2 0.667 0.333 0.310
O1 0.186 0.372 0.789
O2 0.186 0.814 0.789
O3 0.333 0.667 0.382
O4 0.372 0.186 0.211
O5 0.628 0.814 0.789
O6 0.667 0.333 0.618
O7 0.814 0.186 0.211
O8 0.814 0.628 0.211



Record 16
Computed, not measured: crystalline AgOs3O at its relaxed geometry at the PBE level of DFT.

Results
Size of the total moment   0.267 μB/atom
E   -36.02 eV/cell
Symmetry   Pm-3m, No. 221
Density of states at the Fermi level   5.33 states/eV per cell

Cell lengths 4.126, 4.126, 4.126 Å; angles 90.00, 90.00, 90.00 degrees
Positions (direct):
Ag1 0.000 0.000 0.000
Os1 0.000 0.500 0.500
Os2 0.500 0.000 0.500
Os3 0.500 0.500 0.000
O1 0.500 0.500 0.500



Record 17
Computed, not measured: crystalline AgOs3O at its relaxed geometry at the PBE level of DFT.

Results
Size of the total moment   1.737 μB/atom
E   -23.15 eV/cell
Symmetry   Pm-3m, No. 221
Density of states at the Fermi level   4.63 states/eV per cell

Cell lengths 4.875, 4.875, 4.875 Å; angles 90.00, 90.00, 90.00 degrees
Positions (direct):
Ag1 0.000 0.000 0.000
Os1 0.000 0.000 0.500
Os2 0.000 0.500 0.000
Os3 0.500 0.000 0.000
O1 0.500 0.500 0.500



Record 18
Computed, not measured: crystalline AgOs3O12 at its relaxed geometry at the PBE level of DFT.

Results
Size of the total moment   0.074 μB/atom
E   -219.58 eV/cell
Symmetry   R3c, No. 161
Density of states at the Fermi level   20.04 states/eV per cell

Cell lengths 11.672, 11.672, 11.672 Å; angles 46.09, 46.09, 46.09 degrees
Positions (direct):
Ag1 0.000 0.000 0.000
Ag2 0.500 0.500 0.500
Os1 0.118 0.401 0.724
Os2 0.224 0.901 0.618
Os3 0.401 0.724 0.118
Os4 0.618 0.224 0.901
Os5 0.724 0.118 0.401
Os6 0.901 0.618 0.224
O1 0.012 0.423 0.353
O2 0.016 0.016 0.628
O3 0.016 0.628 0.016
O4 0.128 0.516 0.516
O5 0.133 0.195 0.815
O6 0.195 0.815 0.133
O7 0.210 0.880 0.790
O8 0.290 0.380 0.710
O9 0.315 0.695 0.633
O10 0.353 0.012 0.423
O11 0.380 0.710 0.290
O12 0.423 0.353 0.012
O13 0.512 0.853 0.923
O14 0.516 0.128 0.516
O15 0.516 0.516 0.128
O16 0.628 0.016 0.016
O17 0.633 0.315 0.695
O18 0.695 0.633 0.315
O19 0.710 0.290 0.380
O20 0.790 0.210 0.880
O21 0.815 0.133 0.195
O22 0.853 0.923 0.512
O23 0.880 0.790 0.210
O24 0.923 0.512 0.853



Record 19
Computed, not measured: crystalline AgOs2O7 at its relaxed geometry at the PBE level of DFT.

Results
Size of the total moment   0.000 μB/atom
E   -66.79 eV/cell
Symmetry   Cmmm, No. 65
Density of states at the Fermi level   3.75 states/eV per cell

Cell lengths 5.920, 5.920, 3.738 Å; angles 90.00, 90.00, 116.60 degrees
Positions (direct):
Ag1 0.000 0.000 0.000
Os1 0.309 0.691 0.500
Os2 0.691 0.309 0.500
O1 0.038 0.328 0.500
O2 0.308 0.692 0.000
O3 0.328 0.038 0.500
O4 0.500 0.500 0.500
O5 0.672 0.962 0.500
O6 0.692 0.308 0.000
O7 0.962 0.672 0.500